Density functional theory data (GGA-PBE) for crystalline Ca2VHCl at its relaxed geometry.

Summary:
D(E_F) ... 4.1 states/eV/cell
E ... -3.6476 eV/atom
SG ... P4/mmm (123)

a = 5.855 Å, b = 5.855 Å, c = 3.434 Å
α = 90.00°, β = 90.00°, γ = 90.00°
Element x y z (fractional)
1 Ca 0.000 0.500 0.000
2 Ca 0.500 0.000 0.000
3 V 0.000 0.000 0.000
4 H 0.000 0.000 0.500
5 Cl 0.500 0.500 0.500